[1]
Compound: TbPd12Au6
Source: Alexandria via LeMat-Bulk
Functional: PBE
Structure: optimized geometry

Structure (extended XYZ):
```
19
Lattice="5.948 3.434 2.873 -5.948 3.434 2.873 0.000 -6.868 2.873" Properties=species:S:1:pos:R:3 pbc="T T T"
Tb 0.000 0.000 0.000
Pd -1.417 -0.818 2.235
Pd -2.316 -4.011 4.309
Pd -4.631 0.000 4.309
Pd 1.417 -0.818 2.235
Pd 0.000 1.636 2.235
Pd 2.315 -4.011 4.309
Pd -2.315 4.011 4.309
Pd 0.000 -1.636 6.382
Pd -1.417 0.818 6.382
Pd 4.631 0.000 4.309
Pd 2.315 4.011 4.309
Pd 1.417 0.818 6.382
Au -2.336 -1.349 4.848
Au 0.000 -2.698 3.770
Au -2.336 1.349 3.770
Au 2.336 -1.349 4.848
Au 0.000 2.698 4.848
Au 2.336 1.349 3.770
```

Properties
Spin magnetization in μB/f.u.: 0.000
Formation energy from the elements in eV/atom: 0.02
Uncorrected energy in eV per atom: -4.542
Space-group type: No. 166
Calculated volume in Å³ per cell: 352
Crystal system: trigonal

=====

[2]
Compound: ScFePt
Source: Alexandria via LeMat-Bulk
Functional: PBE
Structure: optimized geometry

Structure (extended XYZ):
```
3
Lattice="-1.475 1.822 4.477 1.475 -1.822 4.477 1.475 1.822 -4.477" Properties=species:S:1:pos:R:3 pbc="T T T"
Sc 0.000 0.000 0.000
Fe 0.000 0.000 2.908
Pt 0.000 0.000 6.035
```

Properties
Spin magnetization in μB/f.u.: 2.559
Formation energy from the elements in eV/atom: -0.49
Uncorrected energy in eV per atom: -7.430
Space-group type: No. 44
Calculated volume in Å³ per cell: 48
Crystal system: orthorhombic

=====

[3]
Compound: Tb2Er6ZrSc3
Source: Alexandria via LeMat-Bulk
Functional: PBE
Structure: optimized geometry

Structure (extended XYZ):
```
12
Lattice="2.975 -5.146 0.000 2.975 5.146 0.000 -1.970 0.000 11.119" Properties=species:S:1:pos:R:3 pbc="T T T"
Tb 2.975 3.428 0.000
Tb 2.975 -3.428 0.000
Er 0.025 1.687 8.293
Er 1.030 0.000 2.817
Er 0.025 -1.687 8.293
Er 3.954 1.687 2.826
Er 2.949 0.000 8.303
Er 3.954 -1.687 2.826
Zr 2.975 0.000 0.000
Sc -0.985 0.000 5.560
Sc 1.990 1.714 5.560
Sc 1.990 -1.714 5.560
```

Properties
Spin magnetization in μB/f.u.: 0.000
Formation energy from the elements in eV/atom: 0.06
Uncorrected energy in eV per atom: -5.286
Space-group type: No. 12
Calculated volume in Å³ per cell: 340
Crystal system: monoclinic

=====

[4]
Compound: Pm2SiSnPt6
Source: Alexandria via LeMat-Bulk
Functional: PBE
Structure: optimized geometry

Structure (extended XYZ):
```
20
Lattice="5.581 0.000 0.000 0.000 8.656 0.000 0.000 0.000 8.620" Properties=species:S:1:pos:R:3 pbc="T T T"
Pm 1.395 0.044 2.032
Pm 1.395 4.284 2.032
Pm 4.186 4.372 6.588
Pm 4.186 8.612 6.588
Si 1.395 6.492 6.355
Si 4.186 2.164 2.265
Sn 1.395 2.164 6.751
Sn 4.186 6.492 1.869
Pt 0.008 2.164 4.318
Pt 0.028 6.492 8.287
Pt 1.395 4.348 5.215
Pt 1.395 8.636 5.215
Pt 2.762 6.492 8.287
Pt 2.783 2.164 4.318
Pt 2.799 6.492 4.303
Pt 2.819 2.164 0.333
Pt 4.186 0.020 3.406
Pt 4.186 4.308 3.406
Pt 5.553 2.164 0.333
Pt 5.574 6.492 4.303
```

Properties
Spin magnetization in μB/f.u.: 0.000
Uncorrected energy in eV per atom: -6.407
Space-group type: No. 59
Calculated volume in Å³ per cell: 416
Uncorrected formation energy in meV/atom: -890
Crystal system: orthorhombic